No. 1
Entry from Alexandria via LeMat-Bulk: an optimized crystal structure of AcInSi (PBE-GGA).

The space group is P3m1 (No. 156) and the conventional cell measures 4.4651, 4.4651 and 4.9546 Å, with angles of 90.00, 90.00 and 120.00 degrees. The inequivalent atoms are Ac at (0.0000, 0.0000, 0.0000), In at (0.6667, 0.3333, 0.5524) and Si at (0.3333, 0.6667, 0.3887).

As for the uncorrected formation energy: -447 meV/atom. The offset from the most stable computed form is 45 meV/atom. For the calculated volume, the calculation gives 86 Å³/cell.

---

No. 2
Entry from Alexandria via LeMat-Bulk: an optimized crystal structure of NaAcMg2In4 (PBE-GGA).

The space group is R-3m (No. 166, hexagonal axes) and the conventional cell measures 5.1486, 5.1486 and 28.2360 Å, with angles of 90.00, 90.00 and 120.00 degrees. The inequivalent atoms are Na at (0.0000, 0.0000, 0.0000), Ac at (0.0000, 0.0000, 0.5000), Mg at (0.0000, 0.0000, 0.2553), In at (0.0000, 0.0000, 0.1082) and In at (0.0000, 0.0000, 0.3724).

The formation energy is -0.218 eV per atom. For the calculated volume, the calculation gives 648 Å³/cell.

---

No. 3
Entry from Alexandria via LeMat-Bulk: an optimized crystal structure of Tb4AsCS2 (PBE-GGA).

The space group is I-4m2 (No. 119) and the conventional cell measures 5.558, 5.558 and 11.176 Å, with angles of 90.00, 90.00 and 90.00 degrees. The inequivalent atoms are Tb at (0.000, 0.000, 0.222), Tb at (0.000, 0.500, 0.501), As at (0.000, 0.500, 0.250), C at (0.000, 0.000, 0.000), S at (0.000, 0.000, 0.500) and S at (0.000, 0.500, 0.750).

As for the uncorrected formation energy: -1460 meV/atom. For the calculated volume, the calculation gives 345 Å³/cell.

---

No. 4
Entry from Alexandria via LeMat-Bulk: an optimized crystal structure of LiCuW (PBE-GGA).

The space group is I4mm (No. 107) and the conventional cell measures 2.659, 2.659 and 11.935 Å, with angles of 90.00, 90.00 and 90.00 degrees. The inequivalent atoms are Li at (0.000, 0.000, 0.000), Cu at (0.000, 0.000, 0.346) and W at (0.000, 0.000, 0.684).

The formation energy is 0.364 eV per atom. The offset from the most stable computed form is 24 meV/atom. For the calculated volume, the calculation gives 84 Å³/cell.

---

Q: Among the records above, which one has the highest calculated volume?
A: NaAcMg2In4

---

Q: Among the records above, which one has the highest calculated volume?
A: NaAcMg2In4

---

Q: Among the records above, which one has the highest calculated volume?
A: NaAcMg2In4